! YTeIN2 | Alexandria via LeMat-Bulk | PBE | optimized geometry; values from VASP
&SYSTEM
  ibrav = 0, nat = 5, ntyp = 4
/
ATOMIC_SPECIES
Te 127.60 Te.upf
I 126.90 I.upf
N 14.01 N.upf
Y 88.91 Y.upf
CELL_PARAMETERS angstrom
4.444 0.000 0.000
0.000 4.444 0.000
0.000 0.000 6.714
ATOMIC_POSITIONS angstrom
Te 0.000 0.000 3.357
I 2.222 2.222 3.357
N 2.222 0.000 0.000
Y 0.000 0.000 0.000
N 0.000 2.222 0.000
! E: -4.720 eV per atom

---

! YTeIN2 | Alexandria via LeMat-Bulk | PBE | optimized geometry; values from VASP
&SYSTEM
  ibrav = 0, nat = 5, ntyp = 4
/
ATOMIC_SPECIES
N 14.01 N.upf
I 126.90 I.upf
Y 88.91 Y.upf
Te 127.60 Te.upf
CELL_PARAMETERS angstrom
-0.273 -2.991 -3.046
4.203 -0.723 0.333
-1.011 -4.022 4.039
ATOMIC_POSITIONS angstrom
N 2.102 -0.361 0.166
N -0.137 -1.495 -1.523
I -0.506 -2.011 2.020
Y 1.459 -3.868 0.663
Te 0.000 0.000 0.000
! E: -4.544 eV per atom

---

! YTeIN2 | Alexandria via LeMat-Bulk | PBE | optimized geometry; values from VASP
&SYSTEM
  ibrav = 0, nat = 5, ntyp = 4
/
ATOMIC_SPECIES
Y 88.91 Y.upf
N 14.01 N.upf
I 126.90 I.upf
Te 127.60 Te.upf
CELL_PARAMETERS angstrom
4.287 0.000 0.000
0.000 4.287 0.000
0.000 0.000 5.718
ATOMIC_POSITIONS angstrom
Y 2.143 2.143 2.859
N 0.000 2.143 0.000
I 0.000 0.000 0.000
Te 0.000 0.000 2.859
N 2.143 0.000 0.000
! E: -4.403 eV per atom

---

! ZnTeI2N | Alexandria via LeMat-Bulk | PBE | optimized geometry; values from VASP
&SYSTEM
  ibrav = 0, nat = 5, ntyp = 4
/
ATOMIC_SPECIES
Te 127.60 Te.upf
Zn 65.41 Zn.upf
I 126.90 I.upf
N 14.01 N.upf
CELL_PARAMETERS angstrom
5.975 0.000 0.000
0.000 5.975 0.000
0.000 0.000 3.762
ATOMIC_POSITIONS angstrom
Te 2.987 2.987 1.881
Zn 0.000 0.000 0.000
I 2.987 0.000 0.000
N 0.000 0.000 1.881
I 0.000 2.987 0.000
! E: -2.462 eV per atom

---

! ZnTe2IN | Alexandria via LeMat-Bulk | PBE | optimized geometry; values from VASP
&SYSTEM
  ibrav = 0, nat = 5, ntyp = 4
/
ATOMIC_SPECIES
Zn 65.41 Zn.upf
I 126.90 I.upf
N 14.01 N.upf
Te 127.60 Te.upf
CELL_PARAMETERS angstrom
-2.448 2.546 3.397
2.127 -2.658 3.525
3.611 3.179 0.219
ATOMIC_POSITIONS angstrom
Zn 1.645 1.534 3.570
I 1.806 1.590 0.109
N 0.000 0.000 0.000
Te 1.063 -1.329 1.762
Te -1.224 1.273 1.698
! E: -2.644 eV per atom

---

! ZnTe2IN | Alexandria via LeMat-Bulk | PBE | optimized geometry; values from VASP
&SYSTEM
  ibrav = 0, nat = 5, ntyp = 4
/
ATOMIC_SPECIES
I 126.90 I.upf
Te 127.60 Te.upf
Zn 65.41 Zn.upf
N 14.01 N.upf
CELL_PARAMETERS angstrom
-5.745 -0.688 -1.856
1.980 -2.043 -5.369
-0.010 -3.651 1.386
ATOMIC_POSITIONS angstrom
I 0.000 0.000 0.000
Te 0.990 -1.022 -2.684
Te -2.872 -0.344 -0.928
Zn -1.888 -3.191 -2.920
N -0.005 -1.826 0.693
! E: -2.230 eV per atom

---

Q: Which of these has the lowest E?
A: number 1

---

Q: What is the E in the first record?
A: -4.720 eV per atom